Entry 1:
## Y2HoTmS6 (PBE)

Data for a relaxed structure of Y2HoTmS6.

Cell: 7.325 7.325 7.325 Å, 56.03 56.03 56.03°
Atoms (fractional coordinates):
Y  0.000  0.000  0.000
Y  0.499  0.499  0.499
Ho  0.200  0.200  0.200
Tm  0.700  0.700  0.700
S  0.094  0.407  0.802
S  0.304  0.904  0.597
S  0.407  0.802  0.094
S  0.597  0.304  0.904
S  0.802  0.094  0.407
S  0.904  0.597  0.304

## Properties
**Crystal system**: trigonal
**M_tot**: 0.00 μB/f.u.
**Electronic total energy**: -6.738 eV/atom
**Uncorrected formation energy**: -2.064 eV per atom
**Symmetry**: R3 (146)

---

Entry 2:
## La3Ga2Sn3 (PBE)

Data for a relaxed structure of La3Ga2Sn3.

Cell: 6.307 6.307 15.697 Å, 90.00 90.00 134.26°
Atoms (fractional coordinates):
La  0.077  0.923  0.750
La  0.148  0.852  0.039
La  0.148  0.852  0.461
La  0.852  0.148  0.539
La  0.852  0.148  0.961
La  0.923  0.077  0.250
Ga  0.339  0.661  0.662
Ga  0.339  0.661  0.838
Ga  0.661  0.339  0.162
Ga  0.661  0.339  0.338
Sn  0.211  0.789  0.250
Sn  0.442  0.558  0.089
Sn  0.442  0.558  0.411
Sn  0.558  0.442  0.589
Sn  0.558  0.442  0.911
Sn  0.789  0.211  0.750

## Properties
**Crystal system**: orthorhombic
**M_tot**: 0.00 μB/f.u.
**Electronic total energy**: -4.730 eV/atom
**Symmetry**: Cmcm (63)

---

Entry 3:
## Tb2ErRu2 (PBE)

Data for a relaxed structure of Tb2ErRu2.

Cell: 3.394 20.453 3.375 Å, 90.00 90.00 90.00°
Atoms (fractional coordinates):
Tb  0.000  0.164  0.000
Tb  0.000  0.836  0.000
Tb  0.500  0.336  0.000
Tb  0.500  0.664  0.000
Er  0.000  0.000  0.000
Er  0.500  0.500  0.000
Ru  0.000  0.414  0.500
Ru  0.000  0.586  0.500
Ru  0.500  0.086  0.500
Ru  0.500  0.914  0.500

## Properties
**Crystal system**: orthorhombic
**M_tot**: 0.00 μB/f.u.
**Electronic total energy**: -6.804 eV/atom
**Symmetry**: Cmmm (65)
**ΔE to the lowest computed polymorph**: 0 meV/atom

---

Entry 4:
## Tm2Ga2Ru (PBE)

Data for a relaxed structure of Tm2Ga2Ru.

Cell: 7.146 7.146 7.337 Å, 90.00 90.00 143.91°
Atoms (fractional coordinates):
Tm  0.023  0.977  0.500
Tm  0.238  0.762  0.857
Tm  0.762  0.238  0.357
Tm  0.977  0.023  0.000
Ga  0.162  0.838  0.208
Ga  0.414  0.586  0.284
Ga  0.586  0.414  0.784
Ga  0.838  0.162  0.708
Ru  0.411  0.589  0.639
Ru  0.589  0.411  0.139

## Properties
**Crystal system**: orthorhombic
**M_tot**: 0.00 μB/f.u.
**Electronic total energy**: -5.267 eV/atom
**Symmetry**: Cmc2_1 (36)
**ΔE to the lowest computed polymorph**: 186 meV/atom